Entry from the Alexandria database: a geometry-optimized Li2MgRe structure (GGA-PBE).

Cell lengths 4.4214, 4.4214, 4.4214 Å; angles 60.00, 60.00, 60.00 degrees
Site moments in Bohr magnetons follow the coordinates.
Fractional coordinates of all 4 atoms:
Re 0.5000 0.5000 0.5000  1.87
Mg 0.0000 0.0000 0.0000  -0.03
Li 0.2500 0.2500 0.2500  -0.01
Li 0.7500 0.7500 0.7500  -0.01

Computed properties:
Magnetic moment   1.99 μB/f.u.
Energy above the lowest structure with this stoichiometry   0.494 eV per atom
Raw total energy   -15.10 eV per formula unit